[1]
A plane-wave DFT calculation with PBE was carried out for a relaxed structure of MoAsPb2.

a b c (Å): 3.205 3.205 10.187
angles (deg): 90.00 90.00 111.45
Element x y z (fractional)
Mo 0.000 0.000 0.000
As 0.500 0.500 0.166
Pb 0.000 0.000 0.457
Pb 0.500 0.500 0.768

Uncorrected energy, eV per cell: -21.6
DOS(E_F), states/eV/cell: 3.312
Energy of formation, eV per formula unit: 1.3
SG: Cmm2 (35)


[2]
A plane-wave DFT calculation with PBE was carried out for a relaxed structure of BaSiOs.

a b c (Å): 6.471 6.471 6.471
angles (deg): 150.80 150.80 41.77
Element x y z (fractional)
Ba 0.000 0.000 0.000
Si 0.716 0.716 0.000
Os 0.293 0.293 0.000

Uncorrected energy, eV per cell: -18.4
DOS(E_F), states/eV/cell: 0.098
Energy relative to the elements, uncorrected, kJ/mol of atoms: 4.42
SG: I4mm (107)


Which value of DOS(E_F) does entry 1 give?
3.312 states/eV/cell